Entry 1:
Computed, not measured: Ba2InMo at its PBEsol-relaxed geometry at the meta-GGA SCAN level of DFT.

Properties
The calculation puts the density of states at the Fermi level at 0.280 states/eV per atom. Its volume is 30.2 A^3/atom. Its total energy is -36.40 eV/atom. The calculation puts the total magnetic moment at 4.81 μB per cell.

abc: 5.550 5.550 5.550
angles: 60.00 60.00 60.00
Site moments in Bohr magnetons follow the coordinates.
Positions (direct):
1 Mo 0.250 0.250 0.250  3.61
2 In 0.500 0.500 0.500  -0.09
3 Ba 0.000 0.000 0.000  0.23
4 Ba 0.750 0.750 0.750  0.06

Entry 2:
Computed, not measured: Ba2InMoOs at its PBEsol-relaxed geometry at the meta-GGA SCAN level of DFT.

Properties
The calculation puts the density of states at the Fermi level at 0.534 states/eV per atom. Its volume is 33.9 A^3/atom. Its total energy is -42.86 eV/atom. The calculation puts the total magnetic moment at 4.75 μB per cell.

abc: 5.189 5.714 5.714
angles: 90.00 90.00 90.00
Site moments in Bohr magnetons follow the coordinates.
Positions (direct):
1 Mo 0.500 0.500 0.500  4.06
2 In 0.500 0.000 0.000  -0.04
3 Os 0.000 0.000 0.000  0.12
4 Ba 0.000 0.500 0.000  -0.01
5 Ba 0.000 0.000 0.500  -0.01

Entry 3:
Computed, not measured: Ba6In5N at its PBEsol-relaxed geometry at the meta-GGA SCAN level of DFT.

Properties
The calculation puts the density of states at the Fermi level at 0.705 states/eV per atom. The value obtained for the uncorrected formation energy is -0.619 eV per atom. Its volume is 35.1 A^3/atom. Its total energy is -35.08 eV/atom. The calculation puts the total magnetic moment at 0.00 μB per cell.

abc: 8.162 8.162 15.341
angles: 74.57 74.57 60.00
Positions (direct):
1 Ba 0.283 0.865 0.105
2 Ba 0.635 0.217 0.395
3 Ba 0.717 0.135 0.895
4 Ba 0.247 0.365 0.605
5 Ba 0.747 0.283 0.105
6 Ba 0.217 0.753 0.395
7 Ba 0.783 0.247 0.605
8 Ba 0.135 0.253 0.895
9 Ba 0.253 0.717 0.895
10 Ba 0.365 0.783 0.605
11 Ba 0.865 0.747 0.105
12 Ba 0.753 0.635 0.395
13 In 0.466 0.034 0.250
14 In 0.034 0.250 0.250
15 In 0.193 0.193 0.420
16 In 0.807 0.807 0.580
17 In 0.693 0.693 0.920
18 In 0.534 0.966 0.750
19 In 0.250 0.466 0.250
20 In 0.750 0.534 0.750
21 In 0.966 0.750 0.750
22 In 0.307 0.307 0.080
23 N 0.500 0.500 0.500
24 N 0.000 0.000 0.000

Entry 4:
Computed, not measured: BaInN2 at its PBEsol-relaxed geometry at the meta-GGA SCAN level of DFT.

Properties
The calculation puts the density of states at the Fermi level at 0.662 states/eV per atom. The value obtained for the uncorrected formation energy is -0.035 eV per atom. Its volume is 18.6 A^3/atom. Its total energy is -22.91 eV/atom. The calculation puts the total magnetic moment at 2.01 μB per cell.

abc: 5.826 5.826 5.826
angles: 98.95 114.97 114.97
Site moments in Bohr magnetons follow the coordinates.
Positions (direct):
1 N 0.929 0.554 0.125  0.38
2 N 0.071 0.196 0.625  0.38
3 N 0.429 0.875 0.804  0.38
4 N 0.571 0.375 0.446  0.38
5 In 0.000 0.500 0.500  -0.03
6 In 0.500 0.250 0.750  -0.03
7 Ba 0.500 0.750 0.250  0.00
8 Ba 0.000 0.000 0.000  0.00

Entry 5:
Computed, not measured: BaIn3N at its PBEsol-relaxed geometry at the meta-GGA SCAN level of DFT.

Properties
The calculation puts the density of states at the Fermi level at 0.766 states/eV per atom. The value obtained for the uncorrected formation energy is 0.353 eV per atom. Its volume is 25.0 A^3/atom. Its total energy is -29.45 eV/atom. The calculation puts the total magnetic moment at 0.00 μB per cell.

abc: 5.001 5.001 5.001
angles: 90.00 90.00 90.00
Positions (direct):
1 Ba 0.500 0.500 0.500
2 In 0.000 0.500 0.000
3 In 0.500 0.000 0.000
4 In 0.000 0.000 0.500
5 N 0.000 0.000 0.000

Entry 6:
Computed, not measured: BaInS2N at its PBEsol-relaxed geometry at the meta-GGA SCAN level of DFT.

Properties
The calculation puts the density of states at the Fermi level at 0.530 states/eV per atom. The value obtained for the uncorrected formation energy is 0.564 eV per atom. Its volume is 34.7 A^3/atom. Its total energy is -19.73 eV/atom. The calculation puts the total magnetic moment at 4.01 μB per cell.

abc: 5.157 5.802 5.802
angles: 90.00 90.00 90.00
Site moments in Bohr magnetons follow the coordinates.
Positions (direct):
1 S 0.000 0.000 0.500  0.48
2 S 0.000 0.500 0.000  0.48
3 In 0.500 0.500 0.500  0.00
4 N 0.500 0.000 0.000  1.63
5 Ba 0.000 0.000 0.000  0.07

Entry 7:
Computed, not measured: BaInTe2N at its PBEsol-relaxed geometry at the meta-GGA SCAN level of DFT.

Properties
The calculation puts the density of states at the Fermi level at 0.373 states/eV per atom. The value obtained for the uncorrected formation energy is -0.231 eV per atom. Its volume is 29.4 A^3/atom. Its total energy is -31.58 eV/atom. The calculation puts the total magnetic moment at 2.03 μB per cell.

abc: 4.238 5.890 5.890
angles: 90.00 90.00 90.00
Site moments in Bohr magnetons follow the coordinates.
Positions (direct):
1 Ba 0.500 0.500 0.500  0.00
2 In 0.000 0.000 0.000  -0.10
3 N 0.500 0.000 0.000  1.05
4 Te 0.000 0.500 0.000  0.21
5 Te 0.000 0.000 0.500  0.21

Entry 8:
Computed, not measured: Ba2NaIn2 at its PBEsol-relaxed geometry at the meta-GGA SCAN level of DFT.

Properties
The calculation puts the density of states at the Fermi level at 0.720 states/eV per atom. Its volume is 38.4 A^3/atom. Its total energy is -30.38 eV/atom. The calculation puts the total magnetic moment at 0.00 μB per cell.

abc: 4.084 9.695 9.695
angles: 90.00 90.00 90.00
Positions (direct):
1 Na 0.000 0.000 0.000
2 Na 0.000 0.500 0.500
3 Ba 0.500 0.320 0.180
4 Ba 0.500 0.680 0.820
5 Ba 0.500 0.820 0.320
6 Ba 0.500 0.180 0.680
7 In 0.000 0.614 0.114
8 In 0.000 0.886 0.614
9 In 0.000 0.114 0.386
10 In 0.000 0.386 0.886

Question: Among the records above, which one has the highest total magnetic moment?
Answer: Ba2InMo